Computed, not measured: Li3CaAg after structural relaxation at the PBE level of DFT.

The structure in POSCAR format:
```
Li3CaAg
1.0
7.234 0.000 0.000
0.000 4.356 0.000
-1.952 0.000 7.383
Li Ca Ag
6 2 2
direct
0.094 0.250 0.136 Li
0.336 0.750 0.394 Li
0.354 0.750 0.026 Li
0.646 0.250 0.974 Li
0.664 0.250 0.606 Li
0.906 0.750 0.864 Li
0.194 0.250 0.677 Ca
0.806 0.750 0.323 Ca
0.478 0.250 0.250 Ag
0.522 0.750 0.750 Ag
```

Results
Electronic total energy   -2.227 eV per atom
Density of states at the Fermi level   2.78 states/eV/f.u.
Calculated formation energy   -0.54 eV/f.u.